The following is a PBE-GGA calculation of a relaxed structure of Mg4SbAs2, from Alexandria.

Cell and atoms, written as POSCAR:
```
Mg4SbAs2
1.0
-4.0578 4.0578 5.7196
4.0578 -4.0578 5.7196
4.0578 4.0578 -5.7196
Mg Sb As
8 2 4
Direct
0.2660 0.2997 0.5337
0.2660 0.7323 0.9663
0.2677 0.7340 0.5337
0.2997 0.2660 0.0337
0.7003 0.7340 0.9663
0.7323 0.2660 0.4663
0.7340 0.2677 0.0337
0.7340 0.7003 0.4663
0.1250 0.8750 0.2500
0.8750 0.1250 0.7500
0.0000 0.5000 0.5000
0.5000 0.0000 0.0000
0.5000 0.5000 0.0000
0.5000 0.5000 0.5000
```

Total energy = -45.36 eV/cell
E_form (uncorrected) = -411 meV per atom
SG = No. 141

=====

The following is a PBE-GGA calculation of a relaxed structure of YAl3Fe, from Alexandria.

Cell and atoms, written as POSCAR:
```
YAl3Fe
1.0
-3.0725 4.5283 3.3041
3.0725 -4.5283 3.3041
3.0725 4.5283 -3.3041
Y Al Fe
2 6 2
Direct
0.3187 0.0687 0.2500
0.6813 0.9313 0.7500
0.2006 0.4506 0.7500
0.2212 0.0000 0.7212
0.2212 0.5000 0.2212
0.7788 0.0000 0.2788
0.7788 0.5000 0.7788
0.7994 0.5494 0.2500
0.0000 0.5000 0.5000
0.5000 0.5000 0.0000
```

Total energy = -55.51 eV/cell
Energy of formation = -0.320 eV/atom
SG = No. 74

=====

The following is a PBE-GGA calculation of a relaxed structure of Y2TcBr, from Alexandria.

Cell and atoms, written as POSCAR:
```
Y2TcBr
1.0
3.4737 0.0000 0.0000
0.0000 3.4737 0.0000
0.0000 0.0000 7.9831
Y Tc Br
2 1 1
Direct
0.0000 0.0000 0.2045
0.0000 0.0000 0.7955
0.5000 0.5000 0.0000
0.5000 0.5000 0.5000
```

Total energy = -27.25 eV/cell
E_form (uncorrected) = -571 meV per atom
SG = No. 123

=====

The following is a PBE-GGA calculation of a relaxed structure of Ce2Ni16H, from Alexandria.

Cell and atoms, written as POSCAR:
```
Ce2Ni16H
1.0
4.1586 2.4010 3.9910
-4.1586 2.4010 3.9910
0.0000 -4.8019 3.9910
Ce Ni H
2 16 1
Direct
0.0000 0.0000 0.0000
0.3320 0.3320 0.3320
0.0192 0.0192 0.5173
0.0192 0.5173 0.0192
0.1795 0.6705 0.6705
0.3285 0.3285 0.8274
0.3285 0.8274 0.3285
0.3752 0.6746 0.9732
0.3752 0.9732 0.6746
0.5173 0.0192 0.0192
0.6022 0.6022 0.6022
0.6705 0.1795 0.6705
0.6705 0.6705 0.1795
0.6746 0.3752 0.9732
0.6746 0.9732 0.3752
0.8274 0.3285 0.3285
0.9732 0.3752 0.6746
0.9732 0.6746 0.3752
0.7283 0.7283 0.7283
```

Total energy = -109.97 eV/cell
SG = No. 160